Below is La3CrGa2O9 after structural relaxation, with properties calculated at the GGA+U level.

Values from the calculation:
VASP energy in eV per cell: -112.70

a b c (Å): 5.5385 5.5385 6.7823
angles (deg): 90.00 90.00 120.00
Last column: magnetic moment on the atom in μB.
Sites, in units of the cell vectors:
1 O 0.1674 0.8326 0.3326  0.00
2 O 0.5000 0.0000 0.0000  0.00
3 O 0.8326 0.1674 0.6674  0.00
4 O 0.5000 0.5000 0.0000  0.00
5 O 0.1674 0.3347 0.3326  0.00
6 O 0.3347 0.1674 0.6674  0.00
7 O 0.6653 0.8326 0.3326  0.00
8 O 0.8326 0.6653 0.6674  0.00
9 O 0.0000 0.5000 0.0000  0.00
10 La 0.3333 0.6667 0.6658  0.01
11 La 0.0000 0.0000 0.0000  0.01
12 La 0.6667 0.3333 0.3342  0.01
13 Cr 0.0000 0.0000 0.5000  2.89
14 Ga 0.6667 0.3333 0.8342  -0.01
15 Ga 0.3333 0.6667 0.1658  -0.01